1.
First-principles (PBE) data for crystalline NbCdAu at its relaxed geometry, as listed in Alexandria.

Cell lengths 2.9978, 2.9978, 6.6260 Å; angles 103.07, 103.07, 90.00 degrees
Closest atoms and distances in Å follow each position.
Element x y z (fractional)
Cd 0.9991 0.9991 0.9982  4 Cd 3.00, 4 Au 3.02, 4 Nb 3.04
Au 0.3280 0.3280 0.6560  4 Nb 2.88, 4 Au 3.00, 4 Cd 3.02
Nb 0.6729 0.6729 0.3457  4 Au 2.88, 4 Nb 3.00, 4 Cd 3.04

Its space group is I4mm (107). For the energy relative to the elements, the calculation gives -3.1 kJ per mole of atoms. The calculation puts the polymorph energy (0 for the lowest one) at 3 meV per atom.

2.
First-principles (PBE) data for crystalline TaSi2Ru at its relaxed geometry, as listed in Alexandria.

Cell lengths 4.3215, 4.3215, 4.3215 Å; angles 60.00, 60.00, 60.00 degrees
Closest atoms and distances in Å follow each position.
Element x y z (fractional)
Ru 0.0000 0.0000 0.0000  8 Si 2.65
Si 0.7500 0.7500 0.7500  4 Ta 2.65, 4 Ru 2.65
Si 0.2500 0.2500 0.2500  4 Ta 2.65, 4 Ru 2.65
Ta 0.5000 0.5000 0.5000  8 Si 2.65

Its space group is Fm-3m (225). As for the formation energy without anion corrections: -168 meV per atom.

3.
First-principles (PBE) data for crystalline In2ReIr at its relaxed geometry, as listed in Alexandria.

Cell lengths 4.5708, 2.9095, 5.3580 Å; angles 87.92, 90.00, 90.00 degrees
Closest atoms and distances in Å follow each position.
Element x y z (fractional)
Re 0.5000 0.7500 0.7500  4 In 2.79, 2 Re 2.91, 4 Ir 3.00-3.09
In 0.0000 0.0335 0.0023  2 Ir 2.73, 2 Re 2.79, 4 In 2.91-2.98
In 0.0000 0.4665 0.4977  2 Ir 2.73, 2 Re 2.79, 4 In 2.91-2.98
Ir 0.5000 0.2500 0.2500  4 In 2.73, 2 Ir 2.91, 2 Re 3.00

Its space group is P2/m (10). For the energy relative to the elements, the calculation gives 48.7 kJ per mole of atoms. The calculation puts the polymorph energy (0 for the lowest one) at 395 meV per atom.

4.
First-principles (PBE) data for crystalline Re4TcSb at its relaxed geometry, as listed in Alexandria.

Cell lengths 5.2216, 5.2216, 5.2216 Å; angles 60.00, 60.00, 60.00 degrees
Closest atoms and distances in Å follow each position.
Element x y z (fractional)
Re 0.8751 0.3750 0.3750  6 Re 2.61
Re 0.3750 0.3750 0.8751  6 Re 2.61
Re 0.3750 0.8751 0.3750  6 Re 2.61
Re 0.3750 0.3750 0.3750  6 Re 2.61
Sb 0.7500 0.7500 0.7500  12 Re 3.06, 4 Tc 3.20
Tc 0.0000 0.0000 0.0000  12 Re 3.06, 4 Sb 3.20

Its space group is F-43m (216). As for the formation energy without anion corrections: 703 meV per atom.